Density functional theory data (PBE-GGA) for a relaxed structure of ErZnPt2.

The structure in CIF format:
```
data_ErZnPt2
_chemical_formula_sum 'Er1 Zn1 Pt2'
_cell_length_a 3.4751
_cell_length_b 3.4751
_cell_length_c 5.8892
_cell_angle_alpha 90.00
_cell_angle_beta 90.00
_cell_angle_gamma 90.00
_space_group_name_H-M_alt 'P 1'
_space_group_IT_number 1
_space_group_name_Hall 'P 1'
loop_
_atom_site_label
_atom_site_fract_x
_atom_site_fract_y
_atom_site_fract_z
Er1 0.0000 0.0000 0.0000
Zn1 0.0000 0.0000 0.5000
Pt1 0.5000 0.5000 0.2691
Pt2 0.5000 0.5000 0.7309
```

Density functional theory data (PBE-GGA) for a relaxed structure of Er2Zn3Pt.

The structure in CIF format:
```
data_Er2Zn3Pt
_chemical_formula_sum 'Er2 Zn3 Pt1'
_cell_length_a 3.5259
_cell_length_b 4.4196
_cell_length_c 7.6554
_cell_angle_alpha 90.00
_cell_angle_beta 90.00
_cell_angle_gamma 90.00
_space_group_name_H-M_alt 'P 1'
_space_group_IT_number 1
_space_group_name_Hall 'P 1'
loop_
_atom_site_label
_atom_site_fract_x
_atom_site_fract_y
_atom_site_fract_z
Er1 0.0000 0.0000 0.0000
Er2 0.0000 0.5000 0.4548
Zn1 0.5000 0.0000 0.6519
Zn2 0.5000 0.5000 0.1316
Zn3 0.5000 0.5000 0.8049
Pt1 0.5000 0.0000 0.3114
```

no.,E_form (eV/atom)
1,-0.93
2,-0.65